Density functional theory data (GGA-PBE) for an optimized crystal structure of AcSn8Pt6.

Lattice parameters (Å, degrees): 7.838 7.838 8.135 61.20 61.20 60.00
Fractional positions:
Ac1 0.000 0.000 0.000
Sn1 0.558 0.213 0.350
Sn2 0.787 0.122 0.650
Sn3 0.122 0.442 0.650
Sn4 0.667 0.667 0.000
Sn5 0.333 0.333 0.000
Sn6 0.878 0.558 0.350
Sn7 0.213 0.878 0.350
Sn8 0.442 0.787 0.650
Pt1 0.425 0.075 0.762
Pt2 0.925 0.261 0.238
Pt3 0.261 0.575 0.238
Pt4 0.739 0.425 0.762
Pt5 0.075 0.739 0.762
Pt6 0.575 0.925 0.238

The crystal system is trigonal. Its formation energy is -707 kJ/mol of formula units.